Record 1
This record from Alexandria describes crystalline YCu2PdBr at its relaxed geometry. The functional is PBE-GGA.

a = 4.5387 Å, b = 4.5387 Å, c = 5.3675 Å
α = 90.00°, β = 90.00°, γ = 90.00°
With the nearest neighbours (Å) after each atom.
Positions (direct):
Y 0.0000 0.0000 0.0000  2 Br 2.68
Cu 0.0000 0.5000 0.5000  2 Br 2.27
Cu 0.5000 0.0000 0.5000  2 Br 2.27
Pd 0.5000 0.5000 0.0000  4 Y 3.21, 8 Cu 3.51
Br 0.0000 0.0000 0.5000  4 Cu 2.27

Computed properties:
- E_form (uncorrected) (eV per atom) = 0.428
- density of states at the Fermi level (states/eV per cell) = 3.19

***

Record 2
This record from Alexandria describes crystalline AlCrN2Cl at its relaxed geometry. The functional is PBE-GGA.

a = 3.8915 Å, b = 3.8915 Å, c = 4.3675 Å
α = 90.00°, β = 90.00°, γ = 90.00°
With the nearest neighbours (Å) after each atom.
Positions (direct):
Al 0.0000 0.0000 0.0000  2 Cl 2.18
Cr 0.5000 0.5000 0.0000  4 Al 2.75, 8 N 2.92
N 0.0000 0.5000 0.5000  2 Cl 1.95
N 0.5000 0.0000 0.5000  2 Cl 1.95
Cl 0.0000 0.0000 0.5000  4 N 1.95

Computed properties:
- E_form (uncorrected) (eV per atom) = 2.355
- density of states at the Fermi level (states/eV per cell) = 5.81

***

| no. | total DFT energy (no corrections) (eV/atom) |
| --- | --- |
| 1 | -3.876 |
| 2 | -4.017 |